A plane-wave DFT calculation with PBE was carried out for crystalline NaMg4Ge2Pt at its relaxed geometry.

Results
total moment = 0.01 μB per formula unit
final energy = -23.70 eV for the cell shown

Lattice parameters (Å, degrees): 4.559 4.559 9.020 90.00 90.00 120.00
Element x y z (fractional)
Na 0.000 0.000 0.000
Mg 0.000 0.000 0.345
Mg 0.000 0.000 0.655
Mg 0.667 0.333 0.173
Mg 0.667 0.333 0.827
Ge 0.333 0.667 0.000
Ge 0.333 0.667 0.500
Pt 0.667 0.333 0.500